Density functional theory data (PBE-GGA) for an optimized crystal structure of Cs2Ge2Te5.

Offset from the most stable computed form ... 0.000 eV per atom
Formation energy without anion corrections ... -0.392 eV/atom
SG ... Cc (9)

Cell lengths 13.745, 13.745, 7.055 Å; angles 99.25, 99.25, 35.90 degrees
Atoms (fractional coordinates):
Cs (0.241, 0.759, 0.500)
Cs (0.469, 0.964, 0.634)
Cs (0.759, 0.241, 0.000)
Cs (0.964, 0.469, 0.134)
Ge (0.403, 0.886, 0.068)
Ge (0.723, 0.956, 0.072)
Ge (0.886, 0.403, 0.568)
Ge (0.956, 0.723, 0.572)
Te (0.012, 0.489, 0.661)
Te (0.044, 0.678, 0.209)
Te (0.108, 0.118, 0.812)
Te (0.118, 0.108, 0.312)
Te (0.198, 0.586, 0.828)
Te (0.489, 0.012, 0.161)
Te (0.586, 0.198, 0.328)
Te (0.603, 0.613, 0.309)
Te (0.613, 0.603, 0.809)
Te (0.678, 0.044, 0.709)